[1]
ErCu2Pt7 | PBE-GGA | optimized geometry

The value obtained for the density of states at the Fermi level is 13.6 states/eV/f.u. The total magnetization comes out at 0.00 μB/atom. The value obtained for the formation energy is 0.06 eV/atom. The total energy comes out at -5.44 eV per atom.

Unit cell a=7.2615 b=7.2615 c=4.3871 alpha=90.00 beta=90.00 gamma=121.48
Last column: nearest neighbours and their distance in Å.
Sites, in units of the cell vectors:
1 Er 0.0000 0.0000 0.0000  10 Pt 2.67-2.95
2 Cu 0.3008 0.6992 0.5000  7 Pt 2.46-2.70
3 Cu 0.6992 0.3008 0.5000  7 Pt 2.46-2.70
4 Pt 0.0722 0.3023 0.5000  2 Cu 2.46-2.70, 2 Pt 2.66
5 Pt 0.2107 0.7893 0.0000  2 Cu 2.47, 1 Er 2.67
6 Pt 0.3023 0.0722 0.5000  2 Cu 2.46-2.70, 2 Pt 2.66
7 Pt 0.5000 0.5000 0.5000  2 Cu 2.52, 4 Pt 2.66
8 Pt 0.6977 0.9278 0.5000  2 Cu 2.46-2.70, 2 Pt 2.66
9 Pt 0.7893 0.2107 0.0000  2 Cu 2.47, 1 Er 2.67
10 Pt 0.9278 0.6977 0.5000  2 Cu 2.46-2.70, 2 Pt 2.66

***

[2]
Dy3Mg2Cd6 | PBE-GGA | optimized geometry

The value obtained for the density of states at the Fermi level is 8.7 states/eV/f.u. The total magnetization comes out at 0.00 μB/atom. The value obtained for the formation energy is -0.14 eV/atom. The total energy comes out at -2.18 eV per atom.

Unit cell a=14.6435 b=14.6435 c=14.6435 alpha=162.75 beta=162.75 gamma=24.48
Last column: nearest neighbours and their distance in Å.
Sites, in units of the cell vectors:
1 Dy 0.0000 0.0000 0.0000  8 Mg 3.39
2 Dy 0.2061 0.2061 0.0000  9 Cd 3.14-3.48
3 Dy 0.7939 0.7939 0.0000  9 Cd 3.14-3.48
4 Mg 0.4523 0.4523 0.0000  1 Mg 2.73, 4 Cd 2.86
5 Mg 0.5477 0.5477 0.0000  1 Mg 2.73, 4 Cd 2.86
6 Cd 0.1119 0.6119 0.5000  2 Mg 2.86, 6 Cd 3.02-3.11
7 Cd 0.3157 0.3157 0.0000  4 Cd 3.02, 5 Dy 3.14-3.17
8 Cd 0.3881 0.8881 0.5000  2 Mg 2.86, 6 Cd 3.02-3.11
9 Cd 0.6119 0.1119 0.5000  2 Mg 2.86, 6 Cd 3.02-3.11
10 Cd 0.6843 0.6843 0.0000  4 Cd 3.02, 5 Dy 3.14-3.17
11 Cd 0.8881 0.3881 0.5000  2 Mg 2.86, 6 Cd 3.02-3.11

***

[3]
LiNbSi2Ge | PBE-GGA | optimized geometry

The value obtained for the density of states at the Fermi level is 5.2 states/eV/f.u. The total magnetization comes out at 0.39 μB/atom. The total energy comes out at -4.48 eV per atom.

Unit cell a=4.7883 b=4.7883 c=4.9357 alpha=90.00 beta=90.00 gamma=90.00
Last column: nearest neighbours and their distance in Å.
Sites, in units of the cell vectors:
1 Li 0.0000 0.0000 0.0000  4 Nb 3.39, 8 Si 3.44
2 Nb 0.5000 0.5000 0.0000  2 Ge 2.47
3 Si 0.0000 0.5000 0.5000  2 Ge 2.39
4 Si 0.5000 0.0000 0.5000  2 Ge 2.39
5 Ge 0.5000 0.5000 0.5000  4 Si 2.39, 2 Nb 2.47

***

[4]
K2RbSbF6 | PBE-GGA | optimized geometry

The value obtained for the density of states at the Fermi level is 0.0 states/eV/f.u. For the energy above the most stable polymorph in this dataset, the calculation gives 0.0000 eV/atom. The total magnetization comes out at 0.00 μB/atom. The total energy comes out at -4.50 eV per atom.

Unit cell a=6.5639 b=6.5685 c=6.5805 alpha=61.53 beta=61.54 gamma=61.51
Last column: nearest neighbours and their distance in Å.
Sites, in units of the cell vectors:
1 K 0.0000 0.0000 0.0000  6 F 2.68-2.75
2 K 0.4904 0.4910 0.4904  6 F 2.61-2.80
3 Rb 0.2289 0.2286 0.2281  6 F 2.82-2.85
4 Sb 0.7227 0.7230 0.7220  6 F 2.10-2.33
5 F 0.0747 0.4304 0.8140  1 Sb 2.32
6 F 0.4072 0.8788 0.6203  1 Sb 2.10
7 F 0.4306 0.8129 0.0748  1 Sb 2.32
8 F 0.6204 0.4083 0.8775  1 Sb 2.10
9 F 0.8133 0.0760 0.4284  1 Sb 2.33
10 F 0.8791 0.6200 0.4081  1 Sb 2.10

***

[5]
CaTl2P | PBE-GGA | optimized geometry

The value obtained for the density of states at the Fermi level is 2.1 states/eV/f.u. For the energy above the most stable polymorph in this dataset, the calculation gives 0.3246 eV/atom. The total magnetization comes out at 0.00 μB/atom. The value obtained for the formation energy is -0.05 eV/atom. The total energy comes out at -3.09 eV per atom.

Unit cell a=3.8970 b=3.8970 c=6.7365 alpha=90.00 beta=90.00 gamma=90.00
Last column: nearest neighbours and their distance in Å.
Sites, in units of the cell vectors:
1 Ca 0.0000 0.0000 0.0000  8 Tl 3.34, 2 P 3.37
2 Tl 0.5000 0.5000 0.2812  1 Tl 2.95, 4 P 3.12
3 Tl 0.5000 0.5000 0.7188  1 Tl 2.95, 4 P 3.12
4 P 0.0000 0.0000 0.5000  8 Tl 3.12, 2 Ca 3.37

***

[6]
Pm2HoEr | PBE-GGA | optimized geometry

The value obtained for the density of states at the Fermi level is 4.6 states/eV/f.u. For the energy above the most stable polymorph in this dataset, the calculation gives 0.0000 eV/atom. The total magnetization comes out at 0.00 μB/atom. The value obtained for the formation energy is 0.01 eV/atom. The total energy comes out at -4.65 eV per atom.

Unit cell a=11.7979 b=11.7979 c=11.7979 alpha=17.48 beta=17.48 gamma=17.48
Last column: nearest neighbours and their distance in Å.
Sites, in units of the cell vectors:
1 Pm 0.2502 0.2502 0.2502  3 Er 3.56, 3 Ho 3.57, 6 Pm 3.59
2 Pm 0.7498 0.7498 0.7498  3 Er 3.56, 3 Ho 3.57, 6 Pm 3.59
3 Ho 0.5000 0.5000 0.5000  6 Pm 3.57, 6 Ho 3.59
4 Er 0.0000 0.0000 0.0000  6 Pm 3.56, 6 Er 3.59

***

[7]
Ba2CaGa2 | PBE-GGA | optimized geometry

The value obtained for the density of states at the Fermi level is 5.6 states/eV/f.u. For the energy above the most stable polymorph in this dataset, the calculation gives 0.0759 eV/atom. The total magnetization comes out at 0.00 μB/atom. The value obtained for the formation energy is -0.24 eV/atom. The total energy comes out at -2.62 eV per atom.

Unit cell a=9.2071 b=9.2071 c=4.3500 alpha=90.00 beta=90.00 gamma=90.00
Last column: nearest neighbours and their distance in Å.
Sites, in units of the cell vectors:
1 Ba 0.1633 0.3367 0.0000  6 Ga 3.46-3.48
2 Ba 0.3367 0.8367 0.0000  6 Ga 3.46-3.48
3 Ba 0.6633 0.1633 0.0000  6 Ga 3.46-3.48
4 Ba 0.8367 0.6633 0.0000  6 Ga 3.46-3.48
5 Ca 0.0000 0.0000 0.5000  4 Ga 3.61
6 Ca 0.5000 0.5000 0.5000  4 Ga 3.61
7 Ga 0.1301 0.6301 0.5000  1 Ga 3.39, 6 Ba 3.46-3.48, 2 Ca 3.61
8 Ga 0.3699 0.1301 0.5000  1 Ga 3.39, 6 Ba 3.46-3.48, 2 Ca 3.61
9 Ga 0.6301 0.8699 0.5000  1 Ga 3.39, 6 Ba 3.46-3.48, 2 Ca 3.61
10 Ga 0.8699 0.3699 0.5000  1 Ga 3.39, 6 Ba 3.46-3.48, 2 Ca 3.61

***

[8]
KSn2Sb2Au6 | PBE-GGA | optimized geometry

The value obtained for the density of states at the Fermi level is 4.5 states/eV/f.u. The total magnetization comes out at 0.00 μB/atom. The total energy comes out at -3.48 eV per atom.

Unit cell a=5.8400 b=7.2252 c=7.3040 alpha=71.64 beta=85.33 gamma=85.55
Last column: nearest neighbours and their distance in Å.
Sites, in units of the cell vectors:
1 K 0.0000 0.0000 0.0000  4 Sb 3.36-3.59, 4 Au 3.63-3.65
2 Sn 0.1136 0.6270 0.6359  5 Au 2.75-3.08
3 Sn 0.8864 0.3730 0.3641  5 Au 2.75-3.08
4 Sb 0.4912 0.1587 0.1618  5 Au 2.82-3.01
5 Sb 0.5088 0.8413 0.8382  5 Au 2.82-3.01
6 Au 0.2357 0.0091 0.5186  1 Sn 2.75, 3 Au 2.81-3.07, 2 Sb 2.83
7 Au 0.2367 0.5160 0.0147  2 Sn 2.77-3.10, 2 Sb 2.82-2.84, 3 Au 2.82-3.06
8 Au 0.3583 0.4103 0.4164  3 Au 2.75-2.92, 3 Sn 2.81-3.08, 1 Sb 3.01
9 Au 0.6417 0.5897 0.5836  3 Au 2.75-2.92, 3 Sn 2.81-3.08, 1 Sb 3.01
10 Au 0.7633 0.4840 0.9853  2 Sn 2.77-3.10, 2 Sb 2.82-2.84, 3 Au 2.82-3.06
11 Au 0.7643 0.9909 0.4814  1 Sn 2.75, 3 Au 2.81-3.07, 2 Sb 2.83

***

[9]
GdMgCdNi | PBE-GGA | optimized geometry

The value obtained for the density of states at the Fermi level is 4.2 states/eV/f.u. The total magnetization comes out at 1.84 μB/atom. The value obtained for the formation energy is -0.18 eV/atom. The total energy comes out at -5.77 eV per atom.

Unit cell a=4.8933 b=4.8933 c=4.8933 alpha=60.00 beta=60.00 gamma=60.00
Last column: nearest neighbours and their distance in Å.
Sites, in units of the cell vectors:
1 Gd 0.0000 0.0000 0.0000  4 Ni 3.00, 4 Cd 3.00
2 Mg 0.5000 0.5000 0.5000  4 Ni 3.00, 4 Cd 3.00
3 Cd 0.2500 0.2500 0.2500  4 Gd 3.00, 4 Mg 3.00
4 Ni 0.7500 0.7500 0.7500  4 Gd 3.00, 4 Mg 3.00

***

[10]
Cu10Sn3 | PBE-GGA | optimized geometry

The value obtained for the density of states at the Fermi level is 3.6 states/eV/f.u. For the energy above the most stable polymorph in this dataset, the calculation gives 0.1789 eV/atom. The total magnetization comes out at 0.00 μB/atom. The value obtained for the formation energy is 0.19 eV/atom. The total energy comes out at -3.89 eV per atom.

Unit cell a=7.2487 b=7.2487 c=8.8485 alpha=90.00 beta=90.00 gamma=120.00
Last column: nearest neighbours and their distance in Å.
Sites, in units of the cell vectors:
1 Cu 0.0000 0.0000 0.1486  7 Cu 2.47-2.63
2 Cu 0.0000 0.0000 0.8514  7 Cu 2.47-2.63
3 Cu 0.0000 0.2587 0.4066  4 Cu 2.47-2.50
4 Cu 0.0000 0.3123 0.7404  4 Cu 2.47-2.71, 2 Sn 2.62
5 Cu 0.0000 0.3225 0.0467  5 Cu 2.48-2.71, 2 Sn 2.68
6 Cu 0.0000 0.6775 0.9533  5 Cu 2.48-2.71, 2 Sn 2.68
7 Cu 0.0000 0.6877 0.2596  4 Cu 2.47-2.71, 2 Sn 2.62
8 Cu 0.0000 0.7413 0.5934  4 Cu 2.47-2.50
9 Cu 0.2587 0.0000 0.4066  4 Cu 2.47-2.50
10 Cu 0.2587 0.2587 0.5934  4 Cu 2.47-2.50
11 Cu 0.3123 0.0000 0.7404  4 Cu 2.47-2.71, 2 Sn 2.62
12 Cu 0.3123 0.3123 0.2596  4 Cu 2.47-2.71, 2 Sn 2.62
13 Cu 0.3225 0.0000 0.0467  5 Cu 2.48-2.71, 2 Sn 2.68
14 Cu 0.3225 0.3225 0.9533  5 Cu 2.48-2.71, 2 Sn 2.68
15 Cu 0.6775 0.0000 0.9533  5 Cu 2.48-2.71, 2 Sn 2.68
16 Cu 0.6775 0.6775 0.0467  5 Cu 2.48-2.71, 2 Sn 2.68
17 Cu 0.6877 0.0000 0.2596  4 Cu 2.47-2.71, 2 Sn 2.62
18 Cu 0.6877 0.6877 0.7404  4 Cu 2.47-2.71, 2 Sn 2.62
19 Cu 0.7413 0.0000 0.5934  4 Cu 2.47-2.50
20 Cu 0.7413 0.7413 0.4066  4 Cu 2.47-2.50
21 Sn 0.3333 0.6667 0.1681  6 Cu 2.62-2.68, 1 Sn 2.94
22 Sn 0.3333 0.6667 0.5000  6 Cu 2.85, 2 Sn 2.94
23 Sn 0.3333 0.6667 0.8319  6 Cu 2.62-2.68, 1 Sn 2.94
24 Sn 0.6667 0.3333 0.1681  6 Cu 2.62-2.68, 1 Sn 2.94
25 Sn 0.6667 0.3333 0.5000  6 Cu 2.85, 2 Sn 2.94
26 Sn 0.6667 0.3333 0.8319  6 Cu 2.62-2.68, 1 Sn 2.94

***

[11]
TmZnNi | PBE-GGA | optimized geometry

The value obtained for the density of states at the Fermi level is 1.8 states/eV/f.u. The total magnetization comes out at 0.00 μB/atom. The value obtained for the formation energy is -0.49 eV/atom. The total energy comes out at -4.33 eV per atom.

Unit cell a=6.6421 b=3.9872 c=7.8436 alpha=90.00 beta=90.00 gamma=90.00
Last column: nearest neighbours and their distance in Å.
Sites, in units of the cell vectors:
1 Tm 0.0386 0.2500 0.1833  5 Ni 2.83-2.84, 5 Zn 3.03-3.07
2 Tm 0.4614 0.7500 0.6833  5 Ni 2.83-2.84, 5 Zn 3.03-3.07
3 Tm 0.5386 0.2500 0.3167  5 Ni 2.83-2.84, 5 Zn 3.03-3.07
4 Tm 0.9614 0.7500 0.8167  5 Ni 2.83-2.84, 5 Zn 3.03-3.07
5 Zn 0.1409 0.2500 0.5604  4 Ni 2.56-2.59
6 Zn 0.3591 0.7500 0.0604  4 Ni 2.56-2.59
7 Zn 0.6409 0.2500 0.9396  4 Ni 2.56-2.59
8 Zn 0.8591 0.7500 0.4396  4 Ni 2.56-2.59
9 Ni 0.2416 0.7500 0.3746  4 Zn 2.56-2.59, 5 Tm 2.83-2.84
10 Ni 0.2584 0.2500 0.8746  4 Zn 2.56-2.59, 5 Tm 2.83-2.84
11 Ni 0.7416 0.7500 0.1254  4 Zn 2.56-2.59, 5 Tm 2.83-2.84
12 Ni 0.7584 0.2500 0.6254  4 Zn 2.56-2.59, 5 Tm 2.83-2.84

***

[12]
Li2TiCl | PBE-GGA | optimized geometry

The value obtained for the density of states at the Fermi level is 2.5 states/eV/f.u. For the energy above the most stable polymorph in this dataset, the calculation gives 0.0000 eV/atom. The total magnetization comes out at 0.26 μB/atom. The total energy comes out at -3.50 eV per atom.

Unit cell a=5.9033 b=5.9033 c=5.9033 alpha=99.97 beta=99.97 gamma=130.82
Last column: nearest neighbours and their distance in Å.
Sites, in units of the cell vectors:
1 Li 0.0517 0.6250 0.9267  2 Cl 2.40
2 Li 0.3750 0.3017 0.4267  2 Cl 2.40
3 Li 0.6983 0.1250 0.0733  2 Cl 2.40
4 Li 0.8750 0.9483 0.5733  2 Cl 2.40
5 Ti 0.2500 0.7500 0.5000  2 Cl 2.46
6 Ti 0.5000 0.5000 0.0000  2 Cl 2.46
7 Cl 0.0000 0.0000 0.0000  4 Li 2.40, 2 Ti 2.46
8 Cl 0.7500 0.2500 0.5000  4 Li 2.40, 2 Ti 2.46